Computed, not measured: Ce4SnTeSe2 after structural relaxation at the PBE level of DFT.

Lattice parameters (Å, degrees): 7.535 4.360 7.536 90.00 109.54 90.00
Element x y z (fractional)
Ce: 0.241 0.000 0.230
Ce: 0.255 0.500 0.768
Ce: 0.745 0.500 0.232
Ce: 0.759 0.000 0.770
Sn: 0.000 0.000 0.500
Te: 0.500 0.500 0.500
Se: 0.000 0.500 0.000
Se: 0.500 0.000 0.000

Summary:
The space-group type is P2/m. Its density of states at the Fermi level is 26.16 states/eV/cell. Its energy relative to the elements, uncorrected is -1.381 eV/atom. Its magnetization is 3.809 μB per formula unit. The mass density is 6.9 g/cm³.